Computed, not measured: crystalline CuAg5 at its relaxed geometry at the PBE level of DFT.

a = 5.426 Å, b = 5.426 Å, c = 5.426 Å
α = 60.00°, β = 60.00°, γ = 60.00°
Fractional positions:
Ag1 0.375 0.375 0.375
Ag2 0.875 0.375 0.375
Ag3 0.375 0.375 0.875
Ag4 0.375 0.875 0.375
Ag5 0.750 0.750 0.750
Cu1 0.000 0.000 0.000

Values from the calculation:
* E_tot: -16.565 eV per formula unit
* energy relative to the elements: 0.2979 eV per atom
* energy above the most stable polymorph in this dataset: 233.0 meV/atom